Entry from Alexandria via LeMat-Bulk: an optimized crystal structure of PaCu3Cl6O2 (GGA-PBE).

E ... -55.44 eV/cell
E_form (uncorrected) ... -1055 meV per atom

Lattice parameters (Å, degrees): 6.4073 6.4073 7.6759 95.46 95.46 62.07
Fractional positions:
Pa 0.0000 0.0000 0.0000
Cu 0.0000 0.5000 0.5000
Cu 0.5000 0.0000 0.5000
Cu 0.5000 0.5000 0.5000
Cl 0.0938 0.0938 0.7032
Cl 0.1152 0.5958 0.8510
Cl 0.4042 0.8848 0.1490
Cl 0.5958 0.1152 0.8510
Cl 0.8848 0.4042 0.1490
Cl 0.9062 0.9062 0.2968
O 0.3333 0.3333 0.4826
O 0.6667 0.6667 0.5174